Mg3CrGa | PBEsol | relaxed

```
data_Mg3CrGa
_chemical_formula_sum 'Mg3 Cr1 Ga1'
_symmetry_space_group_name_H-M 'P 1'
_symmetry_Int_Tables_number 1
_cell_length_a 4.9852
_cell_length_b 4.9852
_cell_length_c 4.9852
_cell_angle_alpha 90.00
_cell_angle_beta 90.00
_cell_angle_gamma 90.00
loop_
_symmetry_equiv_pos_as_xyz
'x,y,z'
loop_
_atom_site_label
_atom_site_fract_x
_atom_site_fract_y
_atom_site_fract_z
Ga1 0.0000 0.0000 0.0000
Mg1 0.0000 0.5000 0.0000
Mg2 0.5000 0.0000 0.0000
Mg3 0.0000 0.0000 0.5000
Cr1 0.5000 0.5000 0.5000
```

space group = Pm-3m
spin magnetization = 5.1 μB per cell
ΔE_f = 655.0 meV/atom
DFT total energy = -3.092 eV per atom
mass density = 2.609 g cm⁻³

=====

Be2NbAu | PBEsol | relaxed

```
data_Be2NbAu
_chemical_formula_sum 'Be2 Nb1 Au1'
_symmetry_space_group_name_H-M 'P 1'
_symmetry_Int_Tables_number 1
_cell_length_a 4.1546
_cell_length_b 4.1546
_cell_length_c 4.1546
_cell_angle_alpha 60.00
_cell_angle_beta 60.00
_cell_angle_gamma 60.00
loop_
_symmetry_equiv_pos_as_xyz
'x,y,z'
loop_
_atom_site_label
_atom_site_fract_x
_atom_site_fract_y
_atom_site_fract_z
Au1 0.5000 0.5000 0.5000
Be1 0.2500 0.2500 0.2500
Be2 0.7500 0.7500 0.7500
Nb1 0.0000 0.0000 0.0000
```

space group = Fm-3m
spin magnetization = 0.0 μB per cell
relative energy among the computed polymorphs = 0.0 meV per atom
ΔE_f = 7.7 meV/atom
DFT total energy = -5.679 eV per atom
mass density = 10.083 g cm⁻³

=====

ZrSI2O | PBEsol | relaxed

```
data_ZrSI2O
_chemical_formula_sum 'Zr1 S1 I2 O1'
_symmetry_space_group_name_H-M 'P 1'
_symmetry_Int_Tables_number 1
_cell_length_a 4.7958
_cell_length_b 5.7277
_cell_length_c 5.7277
_cell_angle_alpha 90.00
_cell_angle_beta 90.00
_cell_angle_gamma 90.00
loop_
_symmetry_equiv_pos_as_xyz
'x,y,z'
loop_
_atom_site_label
_atom_site_fract_x
_atom_site_fract_y
_atom_site_fract_z
S1 0.5000 0.0000 0.0000
I1 0.0000 0.5000 0.0000
I2 0.0000 0.0000 0.5000
Zr1 0.0000 0.0000 0.0000
O1 0.5000 0.5000 0.5000
```

space group = P4/mmm
spin magnetization = 2.0 μB per cell
relative energy among the computed polymorphs = 686.7 meV per atom
energy relative to the elements, uncorrected = -0.06 eV/atom
DFT total energy = -4.509 eV per atom
mass density = 4.149 g cm⁻³